Computed, not measured: Ti2InHg after structural relaxation at the PBE level of DFT.

Structure (CIF):
```
data_Ti2InHg
_chemical_formula_sum 'Ti2 In1 Hg1'
_cell_length_a 4.2146
_cell_length_b 4.2146
_cell_length_c 4.2473
_cell_angle_alpha 90.00
_cell_angle_beta 90.00
_cell_angle_gamma 90.00
_space_group_name_H-M_alt 'P 4/m m m'
_space_group_IT_number 123
_space_group_name_Hall '-P 4 2'
loop_
_atom_site_label
_atom_site_type_symbol
_atom_site_fract_x
_atom_site_fract_y
_atom_site_fract_z
_atom_site_occupancy
Ti1 Ti 0.0000 0.5000 0.0000 1
In1 In 0.0000 0.0000 0.5000 1
Hg1 Hg 0.5000 0.5000 0.5000 1
```

Formation energy: -8 kJ per mole of atoms